1.
# ZrTa2Si2

A relaxed structure of ZrTa2Si2 (GGA-PBEsol, the Alexandria database).

```
data_ZrTa2Si2
_space_group_name_H-M_alt 'P 1'
_space_group_IT_number 1
_cell_length_a 6.848
_cell_length_b 6.848
_cell_length_c 3.458
_cell_angle_alpha 90.00
_cell_angle_beta 90.00
_cell_angle_gamma 90.00
loop_
_space_group_symop_operation_xyz
'x,y,z'
loop_
_atom_site_label
_atom_site_fract_x
_atom_site_fract_y
_atom_site_fract_z
_atom_site_occupancy
Zr1 0.000 0.000 0.000 1
Zr2 0.500 0.500 0.000 1
Ta1 0.170 0.330 0.500 1
Ta2 0.330 0.830 0.500 1
Ta3 0.670 0.170 0.500 1
Ta4 0.830 0.670 0.500 1
Si1 0.125 0.625 0.000 1
Si2 0.375 0.125 0.000 1
Si3 0.625 0.875 0.000 1
Si4 0.875 0.375 0.000 1
```

Output
Magnetic moment (μB/f.u.): 0.00
Crystal system: tetragonal
Space group: P4/mbm (127)


2.
# ZrTa2Si

A relaxed structure of ZrTa2Si (GGA-PBEsol, the Alexandria database).

```
data_ZrTa2Si
_space_group_name_H-M_alt 'P 1'
_space_group_IT_number 1
_cell_length_a 2.841
_cell_length_b 2.841
_cell_length_c 8.642
_cell_angle_alpha 90.00
_cell_angle_beta 90.00
_cell_angle_gamma 90.00
loop_
_space_group_symop_operation_xyz
'x,y,z'
loop_
_atom_site_label
_atom_site_fract_x
_atom_site_fract_y
_atom_site_fract_z
_atom_site_occupancy
Zr1 0.000 0.000 0.000 1
Ta1 0.500 0.500 0.287 1
Ta2 0.500 0.500 0.713 1
Si1 0.000 0.000 0.500 1
```

Output
Magnetic moment (μB/f.u.): 0.00
Crystal system: tetragonal
Space group: P4/mmm (123)


3.
# ZrTa2Si

A relaxed structure of ZrTa2Si (GGA-PBEsol, the Alexandria database).

```
data_ZrTa2Si
_space_group_name_H-M_alt 'P 1'
_space_group_IT_number 1
_cell_length_a 9.731
_cell_length_b 9.731
_cell_length_c 9.731
_cell_angle_alpha 17.28
_cell_angle_beta 17.28
_cell_angle_gamma 17.28
loop_
_space_group_symop_operation_xyz
'x,y,z'
loop_
_atom_site_label
_atom_site_fract_x
_atom_site_fract_y
_atom_site_fract_z
_atom_site_occupancy
Zr1 0.000 0.000 0.000 1
Ta1 0.241 0.241 0.241 1
Ta2 0.759 0.759 0.759 1
Si1 0.500 0.500 0.500 1
```

Output
Magnetic moment (μB/f.u.): 0.00
Crystal system: trigonal
Space group: R-3m (166)


4.
# TbSi

A relaxed structure of TbSi (GGA-PBEsol, the Alexandria database).

```
data_TbSi
_space_group_name_H-M_alt 'P 1'
_space_group_IT_number 1
_cell_length_a 7.858
_cell_length_b 3.809
_cell_length_c 5.666
_cell_angle_alpha 90.00
_cell_angle_beta 90.00
_cell_angle_gamma 90.00
loop_
_space_group_symop_operation_xyz
'x,y,z'
loop_
_atom_site_label
_atom_site_fract_x
_atom_site_fract_y
_atom_site_fract_z
_atom_site_occupancy
Tb1 0.179 0.250 0.115 1
Tb2 0.321 0.750 0.615 1
Tb3 0.679 0.250 0.385 1
Tb4 0.821 0.750 0.885 1
Si1 0.037 0.250 0.628 1
Si2 0.463 0.750 0.128 1
Si3 0.537 0.250 0.872 1
Si4 0.963 0.750 0.372 1
```

Output
Magnetic moment (μB/f.u.): 0.00
Crystal system: orthorhombic
Space group: Pnma (62)


5.
# TbSi2

A relaxed structure of TbSi2 (GGA-PBEsol, the Alexandria database).

```
data_TbSi2
_space_group_name_H-M_alt 'P 1'
_space_group_IT_number 1
_cell_length_a 7.801
_cell_length_b 7.801
_cell_length_c 7.801
_cell_angle_alpha 150.86
_cell_angle_beta 150.86
_cell_angle_gamma 41.69
loop_
_space_group_symop_operation_xyz
'x,y,z'
loop_
_atom_site_label
_atom_site_fract_x
_atom_site_fract_y
_atom_site_fract_z
_atom_site_occupancy
Tb1 0.375 0.625 0.750 1
Tb2 0.625 0.375 0.250 1
Si1 0.043 0.793 0.250 1
Si2 0.207 0.957 0.250 1
Si3 0.793 0.043 0.750 1
Si4 0.957 0.207 0.750 1
```

Output
Magnetic moment (μB/f.u.): 0.00
Crystal system: tetragonal
Space group: I4_1/amd (141)


6.
# Tb5Si4

A relaxed structure of Tb5Si4 (GGA-PBEsol, the Alexandria database).

```
data_Tb5Si4
_space_group_name_H-M_alt 'P 1'
_space_group_IT_number 1
_cell_length_a 7.395
_cell_length_b 14.476
_cell_length_c 7.635
_cell_angle_alpha 90.00
_cell_angle_beta 90.00
_cell_angle_gamma 90.00
loop_
_space_group_symop_operation_xyz
'x,y,z'
loop_
_atom_site_label
_atom_site_fract_x
_atom_site_fract_y
_atom_site_fract_z
_atom_site_occupancy
Tb1 0.031 0.099 0.184 1
Tb2 0.031 0.401 0.184 1
Tb3 0.146 0.750 0.511 1
Tb4 0.183 0.123 0.680 1
Tb5 0.183 0.377 0.680 1
Tb6 0.317 0.623 0.180 1
Tb7 0.317 0.877 0.180 1
Tb8 0.354 0.250 0.011 1
Tb9 0.469 0.599 0.684 1
Tb10 0.469 0.901 0.684 1
Tb11 0.531 0.099 0.316 1
Tb12 0.531 0.401 0.316 1
Tb13 0.646 0.750 0.989 1
Tb14 0.683 0.123 0.820 1
Tb15 0.683 0.377 0.820 1
Tb16 0.817 0.623 0.320 1
Tb17 0.817 0.877 0.320 1
Tb18 0.854 0.250 0.489 1
Tb19 0.969 0.599 0.816 1
Tb20 0.969 0.901 0.816 1
Si1 0.020 0.750 0.102 1
Si2 0.144 0.540 0.472 1
Si3 0.144 0.960 0.472 1
Si4 0.238 0.250 0.373 1
Si5 0.262 0.750 0.873 1
Si6 0.356 0.040 0.972 1
Si7 0.356 0.460 0.972 1
Si8 0.480 0.250 0.602 1
Si9 0.520 0.750 0.398 1
Si10 0.644 0.540 0.028 1
Si11 0.644 0.960 0.028 1
Si12 0.738 0.250 0.127 1
Si13 0.762 0.750 0.627 1
Si14 0.856 0.040 0.528 1
Si15 0.856 0.460 0.528 1
Si16 0.980 0.250 0.898 1
```

Output
Magnetic moment (μB/f.u.): 0.00
Crystal system: orthorhombic
Space group: Pnma (62)


So what do the calculations give for electronic total energy? Going down the list: -9.84 -10.03 -9.90 -6.27 -6.13 -6.13 eV/atom.
So what do the calculations give for formation energy (no corrections)? Going down the list: -0.7033 -0.0458 0.0850 -0.8936 -0.6328 -0.7899 eV/atom.
So what do the calculations give for Fermi-level density of states? Going down the list: 2.47 3.03 4.11 3.97 2.40 36.19 states/eV per cell.